No. 1
A relaxed structure of TaSb2W. Source: Alexandria via LeMat-Bulk, functional GGA-PBE.

Summary:
- Formation energy from raw total energies: 0.42 eV per atom
- Excess energy over the best structure of this formula in the dataset: 29.0 kJ per mole of atoms

Cell lengths 4.7730, 4.7730, 3.3674 Å; angles 90.00, 90.00, 90.00 degrees
With the nearest neighbours (Å) after each atom.
Space group P4/mmm (No. 123)
Symmetry-distinct sites (fractional):
Ta1 0.0000 0.0000 0.0000 (multiplicity 1)  8 Sb 2.92
Sb1 0.0000 0.5000 0.5000 (multiplicity 2)  4 W 2.92, 4 Ta 2.92
W1 0.5000 0.5000 0.0000 (multiplicity 1)  8 Sb 2.92

=====

No. 2
A relaxed structure of Ba3Ni. Source: Alexandria via LeMat-Bulk, functional GGA-PBE.

Summary:
- Energy of formation from the pure elements: 0.147 eV per atom

Cell lengths 4.3888, 4.3888, 11.4729 Å; angles 90.00, 90.00, 120.00 degrees
With the nearest neighbours (Å) after each atom.
Space group P-6m2 (No. 187)
Symmetry-distinct sites (fractional):
Ba1 0.0000 0.0000 0.0000 (multiplicity 1)  12 Ba 4.39-4.61
Ba2 0.3333 0.6667 0.3354 (multiplicity 2)  3 Ni 3.16
Ni1 0.0000 0.0000 0.5000 (multiplicity 1)  6 Ba 3.16

=====

No. 3
A relaxed structure of TbPmPr2Nd6. Source: Alexandria via LeMat-Bulk, functional GGA-PBE.

Summary:
- Energy of formation from the pure elements: 0.113 eV per atom

Cell lengths 9.2459, 15.4061, 10.0563 Å; angles 90.00, 99.62, 90.00 degrees
With the nearest neighbours (Å) after each atom.
Space group C2/c (No. 15)
Symmetry-distinct sites (fractional):
Tb1 0.0000 0.0166 0.2500 (multiplicity 4)  4 Pr 3.40-3.45, 4 Nd 3.66-3.69
Pm1 0.0000 0.4056 0.7500 (multiplicity 4)  8 Nd 3.49-3.89, 2 Pr 3.67
Pr1 0.2387 0.0502 0.5414 (multiplicity 8)  5 Nd 3.33-3.56, 2 Tb 3.40-3.45, 1 Pm 3.67
Nd1 0.0670 0.1868 0.9441 (multiplicity 8)  7 Nd 3.48-3.89, 1 Pr 3.55, 1 Tb 3.69, 1 Pm 3.89
Nd2 0.1029 0.3979 0.1209 (multiplicity 8)  3 Pr 3.33-3.56, 4 Nd 3.36-3.70, 2 Pm 3.49-3.69
Nd3 0.2011 0.2215 0.3112 (multiplicity 8)  4 Nd 3.36-3.73, 1 Pr 3.49, 1 Pm 3.52, 1 Tb 3.66

=====

No. 4
A relaxed structure of Sr2BW. Source: Alexandria via LeMat-Bulk, functional GGA-PBE.

Summary:
- Energy of formation from the pure elements: 0.814 eV per atom

Cell lengths 11.0616, 11.0616, 4.2325 Å; angles 90.00, 90.00, 90.00 degrees
With the nearest neighbours (Å) after each atom.
Space group I-42d (No. 122)
Symmetry-distinct sites (fractional):
Sr1 0.0684 0.7500 0.1250 (multiplicity 8)  2 B 2.92
B1 0.0000 0.0000 0.0000 (multiplicity 4)  2 W 2.12
W1 0.0000 0.0000 0.5000 (multiplicity 4)  2 B 2.12

=====

How do the records compare in total moment? In the order shown, they have 0.000 0.000 0.000 1.747 μB per formula unit.